# PBE+U Ba2TaMnO6, relaxed
data_Ba2TaMnO6
_symmetry_space_group_name_H-M 'C 1 2/c 1'
_symmetry_Int_Tables_number 15
_symmetry_space_group_name_Hall '-C 2yc'
_cell_length_a 9.9544
_cell_length_b 5.8878
_cell_length_c 9.9766
_cell_angle_alpha 90.00
_cell_angle_beta 107.87
_cell_angle_gamma 90.00
loop_
_atom_site_label
_atom_site_fract_x
_atom_site_fract_y
_atom_site_fract_z
Ba1 0.1250 0.2415 0.1253
Ta1 0.0000 0.2628 0.7500
Mn1 0.2500 0.2500 0.5000
O1 0.1186 0.0340 0.8703
O2 0.1255 0.4814 0.3719
O3 0.1255 0.2671 0.6243
# Magnetic moment   16.0 μB/cell
# Total energy   -7.9431 eV/atom